A relaxed structure of B2SbN, computed with GGA-PBE.

Cell lengths 4.0524, 4.0524, 4.0524 Å; angles 60.00, 60.00, 60.00 degrees
Positions (direct):
Sb  0.5000  0.5000  0.5000
B  0.2500  0.2500  0.2500
B  0.7500  0.7500  0.7500
N  0.0000  0.0000  0.0000

Computed properties:
The distance to the lowest polymorph of the same formula comes out at 1971 meV/atom. The calculation puts the raw formation energy at 2.3750 eV/atom. For the total energy, the calculation gives -4.076 eV per atom. The spin magnetization is 0.00 μB/cell.